Record 1
DFT (GGA-PBE) results for an optimized crystal structure of LaNd3Ag4.

Space-group type = Pmma, No. 51
V = 429.91 Å³ per cell
Total moment = 0.0 Bohr magnetons per cell
Energy of formation = -0.2543 eV/atom

Cell: 10.7207 7.4809 5.3605 Å, 90.00 90.00 90.00°
Fractional positions:
La (0.0000, 0.0000, 0.0000)
La (0.5000, 0.0000, 0.0000)
Nd (0.0000, 0.5000, 0.0000)
Nd (0.2500, 0.0000, 0.4987)
Nd (0.2500, 0.5000, 0.4987)
Nd (0.5000, 0.5000, 0.0000)
Nd (0.7500, 0.0000, 0.5013)
Nd (0.7500, 0.5000, 0.5013)
Ag (0.0000, 0.2551, 0.5000)
Ag (0.0000, 0.7449, 0.5000)
Ag (0.2500, 0.2552, 0.9980)
Ag (0.2500, 0.7448, 0.9980)
Ag (0.5000, 0.2551, 0.5000)
Ag (0.5000, 0.7449, 0.5000)
Ag (0.7500, 0.2552, 0.0020)
Ag (0.7500, 0.7448, 0.0020)

Record 2
DFT (GGA-PBE) results for an optimized crystal structure of Li2SmMgPd4.

Space-group type = R-3m, No. 166
V = 136.24 Å³ per cell
Total moment = 0.0 Bohr magnetons per cell
Energy of formation = -0.6005 eV/atom

Cell: 8.2764 8.2764 8.2764 Å, 31.35 31.35 31.35°
Fractional positions:
Li (0.2411, 0.2411, 0.2411)
Li (0.7589, 0.7589, 0.7589)
Sm (0.0000, 0.0000, 0.0000)
Mg (0.5000, 0.5000, 0.5000)
Pd (0.1265, 0.1265, 0.1265)
Pd (0.3891, 0.3891, 0.3891)
Pd (0.6109, 0.6109, 0.6109)
Pd (0.8735, 0.8735, 0.8735)